# SrMgSe

A relaxed SrMgSe crystal (GGA-PBEsol, the Alexandria database).

Energy above the lowest structure with this stoichiometry, eV/atom: 0.529
Theoretical density, g/cm³: 3.41
VASP energy, eV/atom: -2.8422
Formation energy without anion corrections, kJ/mol of formula units: -108

Unit cell a=5.082 b=5.082 c=5.082 alpha=60.00 beta=60.00 gamma=60.00
Positions (direct):
1 Sr 0.500 0.500 0.500
2 Mg 0.750 0.750 0.750
3 Se 0.000 0.000 0.000


# SrMgSe

A relaxed SrMgSe crystal (GGA-PBEsol, the Alexandria database).

Energy above the lowest structure with this stoichiometry, eV/atom: 0.000
Theoretical density, g/cm³: 3.94
VASP energy, eV/atom: -3.3714
Formation energy without anion corrections, kJ/mol of formula units: -261

Unit cell a=3.655 b=3.655 c=6.550 alpha=106.24 beta=106.24 gamma=89.87
Positions (direct):
1 Sr 0.688 0.688 0.377
2 Mg 0.967 0.967 0.935
3 Se 0.344 0.344 0.689


# Mg3TaSe

A relaxed Mg3TaSe crystal (GGA-PBEsol, the Alexandria database).

Theoretical density, g/cm³: 3.62
VASP energy, eV/atom: -2.9267
Formation energy without anion corrections, kJ/mol of formula units: 668

Unit cell a=5.342 b=5.342 c=5.342 alpha=90.00 beta=90.00 gamma=90.00
Positions (direct):
1 Mg 0.000 0.500 0.000
2 Mg 0.000 0.000 0.500
3 Mg 0.500 0.000 0.000
4 Se 0.500 0.500 0.500
5 Ta 0.000 0.000 0.000


# MgTaSe3

A relaxed MgTaSe3 crystal (GGA-PBEsol, the Alexandria database).

Theoretical density, g/cm³: 6.65
VASP energy, eV/atom: -4.5131
Formation energy without anion corrections, kJ/mol of formula units: 314

Unit cell a=4.798 b=4.798 c=4.798 alpha=90.00 beta=90.00 gamma=90.00
Positions (direct):
1 Mg 0.000 0.000 0.000
2 Se 0.000 0.500 0.000
3 Se 0.000 0.000 0.500
4 Se 0.500 0.000 0.000
5 Ta 0.500 0.500 0.500


Which value of VASP energy does entry 1 give?
-2.8422 eV/atom


theoretical density of number 4 (MgTaSe3)?
6.65 g/cm³


Which of these has the highest formation energy without anion corrections?
Mg3TaSe


Among the records above, which one has the highest VASP energy?
number 1